# 1
A plane-wave DFT calculation with PBEsol was carried out for a geometry-optimized BaYNO2 structure.

Cell: 4.386 4.386 4.492 Å, 90.00 90.00 90.00°
Space group P4/mmm (No. 123)
Inequivalent atoms, fractional coordinates:
1 Ba 0.000 0.000 0.000 (multiplicity 1)
2 Y 0.500 0.500 0.500 (multiplicity 1)
3 N 0.500 0.500 0.000 (multiplicity 1)
4 O 0.000 0.500 0.500 (multiplicity 2)

=====

# 2
A plane-wave DFT calculation with PBEsol was carried out for a geometry-optimized Ba3ZnN2O structure.

Cell: 4.082 4.082 9.162 Å, 90.00 90.00 90.00°
Space group P4/mmm (No. 123)
Inequivalent atoms, fractional coordinates:
1 Ba 0.000 0.000 0.000 (multiplicity 1)
2 Ba 0.500 0.500 0.283 (multiplicity 2)
3 Zn 0.000 0.000 0.500 (multiplicity 1)
4 N 0.000 0.000 0.300 (multiplicity 2)
5 O 0.500 0.500 0.000 (multiplicity 1)

=====

# 3
A plane-wave DFT calculation with PBEsol was carried out for a geometry-optimized Ba3OsN3 structure.

Cell: 8.1133 8.1133 5.5735 Å, 90.00 90.00 120.00°
Space group P6_3/m (No. 176)
Inequivalent atoms, fractional coordinates:
1 Ba 0.0992 0.3625 0.2500 (multiplicity 6)
2 Os 0.3333 0.6667 0.7500 (multiplicity 2)
3 N 0.1156 0.4315 0.7500 (multiplicity 6)

=====

# 4
A plane-wave DFT calculation with PBEsol was carried out for a geometry-optimized BaOsN2 structure.

Cell: 6.007 6.007 6.007 Å, 90.00 90.00 90.00°
Space group Fm-3m (No. 225)
Inequivalent atoms, fractional coordinates:
1 Ba 0.000 0.000 0.000 (multiplicity 4)
2 Os 0.000 0.000 0.500 (multiplicity 4)
3 N 0.250 0.250 0.250 (multiplicity 8)

=====

How do the records compare in energy relative to the elements, uncorrected? In the order shown, they have -1.7747 -1.0688 -0.5705 1.3612 eV/atom.
How do the records compare in VASP energy? In the order shown, they have -36.9 -37.8 -96.5 -103.9 eV per cell.
How do the records compare in DOS at the Fermi energy? In the order shown, they have 0.53 0.00 1.00 0.61 states/eV per atom.